# 1
Density functional theory data (PBE) for a geometry-optimized CeUPa2As4 structure.

Unit cell a=7.1260 b=4.1061 c=7.1591 alpha=90.00 beta=109.30 gamma=90.00
Space group P2/m (No. 10)
Symmetry-distinct sites (fractional):
Ce: 0.0000 0.0000 0.0000 (multiplicity 1)
U: 0.0000 0.5000 0.5000 (multiplicity 1)
Pa: 0.5000 0.0000 0.5000 (multiplicity 1)
Pa: 0.5000 0.5000 0.0000 (multiplicity 1)
As: 0.2521 0.0000 0.7479 (multiplicity 2)
As: 0.2545 0.5000 0.2546 (multiplicity 2)

***

# 2
Density functional theory data (PBE) for a geometry-optimized CeU3Pa2As6 structure.

Unit cell a=7.0566 b=12.2263 c=7.2071 alpha=90.00 beta=109.06 gamma=90.00
Space group C2/m (No. 12)
Symmetry-distinct sites (fractional):
Ce: 0.0000 0.0000 0.0000 (multiplicity 2)
U: 0.0000 0.1645 0.5000 (multiplicity 4)
U: 0.0000 0.5000 0.5000 (multiplicity 2)
Pa: 0.0000 0.3329 0.0000 (multiplicity 4)
As: 0.2458 0.5000 0.2509 (multiplicity 4)
As: 0.2467 0.3312 0.7470 (multiplicity 8)

***

# 3
Density functional theory data (PBE) for a geometry-optimized Ce2UPa3As6 structure.

Unit cell a=17.9927 b=4.1166 c=8.2810 alpha=90.00 beta=103.16 gamma=90.00
Space group C2/m (No. 12)
Symmetry-distinct sites (fractional):
Ce: 0.1665 0.0000 0.3344 (multiplicity 4)
U: 0.0000 0.5000 0.0000 (multiplicity 2)
Pa: 0.0000 0.5000 0.5000 (multiplicity 2)
Pa: 0.1669 0.0000 0.8355 (multiplicity 4)
As: 0.0017 0.0000 0.7507 (multiplicity 4)
As: 0.1651 0.5000 0.5892 (multiplicity 4)
As: 0.1667 0.5000 0.0800 (multiplicity 4)

***

# 4
Density functional theory data (PBE) for a geometry-optimized Ce2YPaAs4 structure.

Unit cell a=7.1921 b=4.1639 c=7.2289 alpha=90.00 beta=109.44 gamma=90.00
Space group P2/m (No. 10)
Symmetry-distinct sites (fractional):
Ce: 0.0000 0.0000 0.0000 (multiplicity 1)
Ce: 0.5000 0.5000 0.0000 (multiplicity 1)
Y: 0.0000 0.5000 0.5000 (multiplicity 1)
Pa: 0.5000 0.0000 0.5000 (multiplicity 1)
As: 0.2508 0.0000 0.7426 (multiplicity 2)
As: 0.2547 0.5000 0.2592 (multiplicity 2)

***

# 5
Density functional theory data (PBE) for a geometry-optimized CeY2PaAs4 structure.

Unit cell a=7.1461 b=4.1429 c=7.1803 alpha=90.00 beta=109.51 gamma=90.00
Space group P2/m (No. 10)
Symmetry-distinct sites (fractional):
Ce: 0.0000 0.0000 0.0000 (multiplicity 1)
Y: 0.5000 0.0000 0.5000 (multiplicity 1)
Y: 0.5000 0.5000 0.0000 (multiplicity 1)
Pa: 0.0000 0.5000 0.5000 (multiplicity 1)
As: 0.2490 0.0000 0.7451 (multiplicity 2)
As: 0.2508 0.5000 0.2556 (multiplicity 2)

***

# 6
Density functional theory data (PBE) for a geometry-optimized Ce2ZrPaAs4 structure.

Unit cell a=7.0478 b=4.0943 c=7.1263 alpha=90.00 beta=109.35 gamma=90.00
Space group P2/m (No. 10)
Symmetry-distinct sites (fractional):
Ce: 0.0000 0.0000 0.0000 (multiplicity 1)
Ce: 0.5000 0.5000 0.0000 (multiplicity 1)
Zr: 0.0000 0.5000 0.5000 (multiplicity 1)
Pa: 0.5000 0.0000 0.5000 (multiplicity 1)
As: 0.2392 0.0000 0.7340 (multiplicity 2)
As: 0.2471 0.5000 0.2624 (multiplicity 2)

***

# 7
Density functional theory data (PBE) for a geometry-optimized Ce3ZrPa3As8 structure.

Unit cell a=8.1855 b=8.1855 c=20.4037 alpha=90.00 beta=90.00 gamma=120.00
Space group R-3m (No. 166, hexagonal axes)
Symmetry-distinct sites (fractional):
Ce: 0.0000 0.5000 0.0000 (multiplicity 9)
Zr: 0.0000 0.0000 0.5000 (multiplicity 3)
Pa: 0.0000 0.5000 0.5000 (multiplicity 9)
As: 0.0000 0.0000 0.2476 (multiplicity 6)
As: 0.0048 0.5024 0.2449 (multiplicity 18)

***

# 8
Density functional theory data (PBE) for a geometry-optimized Ce3ZrPa2As6 structure.

Unit cell a=7.1030 b=12.3023 c=7.1590 alpha=90.00 beta=109.35 gamma=90.00
Space group C2/m (No. 12)
Symmetry-distinct sites (fractional):
Ce: 0.0000 0.0000 0.0000 (multiplicity 2)
Ce: 0.0000 0.3314 0.0000 (multiplicity 4)
Zr: 0.0000 0.5000 0.5000 (multiplicity 2)
Pa: 0.0000 0.1659 0.5000 (multiplicity 4)
As: 0.2420 0.3363 0.7363 (multiplicity 8)
As: 0.2467 0.5000 0.2604 (multiplicity 4)

***

# 9
Density functional theory data (PBE) for a geometry-optimized CeZrPa2As4 structure.

Unit cell a=7.0129 b=4.0846 c=7.0363 alpha=90.00 beta=109.63 gamma=90.00
Space group P2/m (No. 10)
Symmetry-distinct sites (fractional):
Ce: 0.0000 0.0000 0.0000 (multiplicity 1)
Zr: 0.0000 0.5000 0.5000 (multiplicity 1)
Pa: 0.5000 0.0000 0.5000 (multiplicity 1)
Pa: 0.5000 0.5000 0.0000 (multiplicity 1)
As: 0.2433 0.0000 0.7399 (multiplicity 2)
As: 0.2487 0.5000 0.2584 (multiplicity 2)

***

# 10
Density functional theory data (PBE) for a geometry-optimized Ce3Zr2PaAs6 structure.

Unit cell a=7.0338 b=12.1925 c=7.0896 alpha=90.00 beta=109.36 gamma=90.00
Space group C2/m (No. 12)
Symmetry-distinct sites (fractional):
Ce: 0.0000 0.0000 0.0000 (multiplicity 2)
Ce: 0.0000 0.3352 0.0000 (multiplicity 4)
Zr: 0.0000 0.1675 0.5000 (multiplicity 4)
Pa: 0.0000 0.5000 0.5000 (multiplicity 2)
As: 0.2374 0.0000 0.7316 (multiplicity 4)
As: 0.2481 0.3303 0.7349 (multiplicity 8)

***

| no. | Fermi-level density of states (states/eV/f.u.) | ΔH_f (0 K) (meV/atom) | total magnetic moment (μB/cell) |
| --- | --- | --- | --- |
| 1 | 16.8 | -1059 | 2.127 |
| 2 | 27.1 | -944 | 15.291 |
| 3 | 23.8 | -1121 | 3.316 |
| 4 | 14.8 | -1365 | 2.064 |
| 5 | 10.2 | -1395 | 1.172 |
| 6 | 13.3 | -1264 | 1.144 |
| 7 | 23.7 | -1107 | 8.916 |
| 8 | 20.6 | -1258 | 3.590 |
| 9 | 10.1 | -1155 | 0.160 |
| 10 | 17.7 | -1278 | 3.174 |